1.
Material: RbNa5Hg
Method: DFT, PBE-GGA
State: optimized geometry

abc: 4.9214 4.9214 11.9992
angles: 90.00 90.00 90.00
Space group P4/mmm (No. 123)
Symmetry-distinct sites (fractional):
Rb1 0.0000 0.0000 0.0000 (multiplicity 1)
Na1 0.0000 0.0000 0.5000 (multiplicity 1)
Na2 0.0000 0.5000 0.3036 (multiplicity 4)
Hg1 0.5000 0.5000 0.5000 (multiplicity 1)

Calculated formation energy: -0.042 eV per atom

=====

2.
Material: Tm3In3PdRu2
Method: DFT, PBE-GGA
State: optimized geometry

abc: 7.5551 7.5551 3.8220
angles: 90.00 90.00 120.00
Space group P-62m (No. 189)
Symmetry-distinct sites (fractional):
Tm1 0.0000 0.4073 0.0000 (multiplicity 3)
In1 0.0000 0.7346 0.5000 (multiplicity 3)
Pd1 0.0000 0.0000 0.0000 (multiplicity 1)
Ru1 0.3333 0.6667 0.5000 (multiplicity 2)

Calculated formation energy: -0.523 eV per atom

=====

3.
Material: LiCeH2
Method: DFT, PBE-GGA
State: optimized geometry

abc: 6.3330 6.3321 6.4502
angles: 90.00 119.40 90.00
Space group P2_1/c (No. 14)
Symmetry-distinct sites (fractional):
Li1 0.2429 0.1343 0.2609 (multiplicity 4)
Ce1 0.2578 0.6314 0.2509 (multiplicity 4)
H1 0.0467 0.6130 0.8331 (multiplicity 4)
H2 0.4935 0.6544 0.6634 (multiplicity 4)

Polymorph energy (0 for the lowest one): 0.0000 eV/atom

=====

4.
Material: LiDy6Se2S3
Method: DFT, PBE-GGA
State: optimized geometry

abc: 17.5010 3.9517 8.1023
angles: 90.00 103.71 90.00
Space group C2/m (No. 12)
Symmetry-distinct sites (fractional):
Li1 0.0000 0.0000 0.0000 (multiplicity 2)
Dy1 0.0044 0.5000 0.7333 (multiplicity 4)
Dy2 0.1617 0.0000 0.5951 (multiplicity 4)
Dy3 0.1713 0.0000 0.0732 (multiplicity 4)
Se1 0.1673 0.5000 0.3359 (multiplicity 4)
S1 0.0000 0.0000 0.5000 (multiplicity 2)
S2 0.1691 0.5000 0.8340 (multiplicity 4)

Uncorrected formation energy: -18.13 eV/f.u.

=====

5.
Material: PrYAlSn
Method: DFT, PBE-GGA
State: optimized geometry

abc: 7.5573 7.5573 7.5573
angles: 90.00 90.00 90.00
Space group F-43m (No. 216)
Symmetry-distinct sites (fractional):
Pr1 0.0000 0.0000 0.0000 (multiplicity 4)
Y1 0.0000 0.0000 0.5000 (multiplicity 4)
Al1 0.2500 0.2500 0.7500 (multiplicity 4)
Sn1 0.2500 0.2500 0.2500 (multiplicity 4)

Polymorph energy (0 for the lowest one): 0.1709 eV/atom
Calculated formation energy: -0.447 eV per atom

=====

6.
Material: Ca2MnCr
Method: DFT, PBE-GGA
State: optimized geometry

abc: 11.7618 3.3881 5.3944
angles: 90.00 109.34 90.00
Space group Cm (No. 8)
Symmetry-distinct sites (fractional):
Ca1 0.0000 0.0000 0.0000 (multiplicity 2)
Ca2 0.2051 0.0000 0.6515 (multiplicity 2)
Mn1 0.4463 0.0000 0.4546 (multiplicity 2)
Cr1 0.2609 0.5000 0.1957 (multiplicity 2)

Polymorph energy (0 for the lowest one): 0.2785 eV/atom
Calculated formation energy: 0.621 eV per atom

=====

7.
Material: CuH5Pd4
Method: DFT, PBE-GGA
State: optimized geometry

abc: 5.4956 8.0233 4.4901
angles: 90.00 90.00 90.00
Space group Pmmn (No. 59, origin choice 2)
Symmetry-distinct sites (fractional):
Cu1 0.2500 0.2500 0.0801 (multiplicity 2)
H1 0.0023 0.5631 0.2185 (multiplicity 8)
H2 0.2500 0.7500 0.6839 (multiplicity 2)
Pd1 0.0031 0.2500 0.5747 (multiplicity 4)
Pd2 0.2500 0.5598 0.9261 (multiplicity 4)

Raw total energy: -4.12 eV/atom

=====

8.
Material: Mn2AgTe
Method: DFT, PBE-GGA
State: optimized geometry

abc: 3.1363 3.1363 27.1528
angles: 90.00 90.00 120.00
Space group R3m (No. 160, hexagonal axes)
Symmetry-distinct sites (fractional):
Mn1 0.0000 0.0000 0.0000 (multiplicity 3)
Mn2 0.0000 0.0000 0.2599 (multiplicity 3)
Ag1 0.0000 0.0000 0.5140 (multiplicity 3)
Te1 0.0000 0.0000 0.7390 (multiplicity 3)

Uncorrected formation energy: 1.69 eV/f.u.

=====

Please write out number 1 again, unchanged.
Material: RbNa5Hg
Method: DFT, PBE-GGA
State: optimized geometry

abc: 4.9214 4.9214 11.9992
angles: 90.00 90.00 90.00
Space group P4/mmm (No. 123)
Symmetry-distinct sites (fractional):
Rb1 0.0000 0.0000 0.0000 (multiplicity 1)
Na1 0.0000 0.0000 0.5000 (multiplicity 1)
Na2 0.0000 0.5000 0.3036 (multiplicity 4)
Hg1 0.5000 0.5000 0.5000 (multiplicity 1)

Calculated formation energy: -0.042 eV per atom